Material: Sr2CrBr
Method: DFT, SCAN
State: single point on PBEsol structure

abc: 3.8086 3.8086 8.4850
angles: 90.00 90.00 90.00
Positions (direct):
Sr1 0.0000 0.0000 0.2374
Sr2 0.0000 0.0000 0.7626
Cr1 0.5000 0.5000 0.0000
Br1 0.5000 0.5000 0.5000

- Crystal system: tetragonal
- Final energy: -21.09 eV per atom
- Raw formation energy: -0.4885 eV/atom

=====

Material: Ta2CrBr
Method: DFT, SCAN
State: single point on PBEsol structure

abc: 3.1587 4.4581 4.6527
angles: 90.00 90.00 90.00
Positions (direct):
Ta1 0.0000 0.0000 0.0000
Ta2 0.5000 0.0000 0.5000
Cr1 0.0000 0.5000 0.5000
Br1 0.5000 0.5000 0.0000

- Crystal system: orthorhombic
- Distance to the lowest polymorph of the same formula: 139 meV per atom
- Final energy: -42.02 eV per atom
- Raw formation energy: 0.7326 eV/atom

=====

Material: Ta2CrBr
Method: DFT, SCAN
State: single point on PBEsol structure

abc: 2.9793 4.4613 5.0815
angles: 90.00 106.35 90.00
Positions (direct):
Ta1 0.0000 0.0000 0.0000
Ta2 0.2540 0.5000 0.7379
Cr1 0.5393 0.0000 0.5302
Br1 0.5274 0.5000 0.2768

- Crystal system: monoclinic
- Distance to the lowest polymorph of the same formula: 0 meV per atom
- Final energy: -42.16 eV per atom
- Raw formation energy: 0.5936 eV/atom

=====

Material: CrTe2Br
Method: DFT, SCAN
State: single point on PBEsol structure

abc: 7.2893 7.2893 7.2893
angles: 123.58 123.58 83.90
Positions (direct):
Cr1 0.0000 0.0000 0.0000
Cr2 0.7500 0.2500 0.5000
Te1 0.0381 0.1250 0.4131
Te2 0.3750 0.9619 0.0869
Te3 0.7119 0.6250 0.5869
Te4 0.8750 0.2881 0.9131
Br1 0.2500 0.7500 0.5000
Br2 0.5000 0.5000 0.0000

- Crystal system: tetragonal
- Distance to the lowest polymorph of the same formula: 280 meV per atom
- Final energy: -28.03 eV per atom
- Raw formation energy: 0.0553 eV/atom

=====

Material: CrTe2Br
Method: DFT, SCAN
State: single point on PBEsol structure

abc: 5.3934 5.3934 3.2379
angles: 90.00 90.00 90.00
Positions (direct):
Cr1 0.0000 0.0000 0.0000
Te1 0.0000 0.5000 0.5000
Te2 0.5000 0.0000 0.5000
Br1 0.5000 0.5000 0.0000

- Crystal system: tetragonal
- Distance to the lowest polymorph of the same formula: 511 meV per atom
- Final energy: -27.80 eV per atom
- Raw formation energy: 0.2864 eV/atom

=====

Material: CrTe2Br
Method: DFT, SCAN
State: single point on PBEsol structure

abc: 5.8736 5.8736 3.3583
angles: 90.00 90.00 121.30
Positions (direct):
Cr1 0.0000 0.0000 0.0000
Te1 0.0000 0.5000 0.5000
Te2 0.5000 0.0000 0.5000
Br1 0.5000 0.5000 0.0000

- Crystal system: orthorhombic
- Distance to the lowest polymorph of the same formula: 467 meV per atom
- Final energy: -27.84 eV per atom
- Raw formation energy: 0.2419 eV/atom

=====

Material: CrTe2Br
Method: DFT, SCAN
State: single point on PBEsol structure

abc: 6.4610 6.4610 6.4610
angles: 149.73 133.30 56.67
Positions (direct):
Cr1 0.0000 0.0000 0.0000
Te1 0.1870 0.6870 0.5000
Te2 0.8130 0.3130 0.5000
Br1 0.5000 0.5000 0.0000

- Crystal system: orthorhombic
- Distance to the lowest polymorph of the same formula: 212 meV per atom
- Final energy: -28.10 eV per atom
- Raw formation energy: -0.0132 eV/atom

=====

Material: CrTe2Br
Method: DFT, SCAN
State: single point on PBEsol structure

abc: 8.2805 8.2805 8.2805
angles: 26.04 26.04 26.04
Positions (direct):
Cr1 0.0000 0.0000 0.0000
Te1 0.2696 0.2696 0.2696
Te2 0.7304 0.7304 0.7304
Br1 0.5000 0.5000 0.5000

- Crystal system: trigonal
- Distance to the lowest polymorph of the same formula: 0 meV per atom
- Final energy: -28.31 eV per atom
- Raw formation energy: -0.2251 eV/atom

=====

- Which of these has the highest final energy?
  Sr2CrBr